! PBE YCoMoPb, relaxed; values from VASP
! energy above the most stable polymorph in this dataset	0.147	eV/atom
! E	-6.4273	eV per atom
! volume	77.8	Å³/f.u.
! crystal system	cubic
&SYSTEM
  ibrav = 0, nat = 4, ntyp = 4
/
ATOMIC_SPECIES
Y 88.91 Y.upf
Co 58.93 Co.upf
Mo 95.94 Mo.upf
Pb 207.20 Pb.upf
ATOMIC_POSITIONS crystal
Y 0.000 0.000 0.000
Co 0.500 0.500 0.500
Mo 0.750 0.750 0.750
Pb 0.250 0.250 0.250
CELL_PARAMETERS angstrom
0.000 3.389 3.389
3.389 0.000 3.389
3.389 3.389 0.000

***

! PBE NdDy2P3, relaxed; values from VASP
! E	-6.6160	eV per atom
! volume	141.9	Å³/f.u.
! crystal system	trigonal
&SYSTEM
  ibrav = 0, nat = 6, ntyp = 3
/
ATOMIC_SPECIES
Nd 144.24 Nd.upf
Dy 162.50 Dy.upf
P 30.97 P.upf
ATOMIC_POSITIONS crystal
Nd 0.000 0.000 0.000
Dy 0.333 0.667 0.337
Dy 0.667 0.333 0.663
P 0.000 0.000 0.500
P 0.333 0.667 0.825
P 0.667 0.333 0.175
CELL_PARAMETERS angstrom
4.060 0.000 0.000
-2.030 3.516 0.000
0.000 0.000 9.937

***

! PBE BeZn2Re, relaxed; values from VASP
! E	-4.4252	eV per atom
! volume	53.8	Å³/f.u.
! crystal system	tetragonal
&SYSTEM
  ibrav = 0, nat = 8, ntyp = 3
/
ATOMIC_SPECIES
Be 9.01 Be.upf
Zn 65.41 Zn.upf
Re 186.21 Re.upf
ATOMIC_POSITIONS crystal
Be 0.139 0.139 0.000
Be 0.861 0.861 0.000
Zn 0.000 0.500 0.500
Zn 0.379 0.379 0.000
Zn 0.500 0.000 0.500
Zn 0.621 0.621 0.000
Re 0.250 0.750 0.500
Re 0.750 0.250 0.500
CELL_PARAMETERS angstrom
-1.857 1.857 7.790
1.857 -1.857 7.790
1.857 1.857 -7.790

***

! PBE TmPd3, relaxed; values from VASP
! E	-5.9271	eV per atom
! volume	67.9	Å³/f.u.
! crystal system	cubic
! DFT formation energy	-3.71	eV/f.u.
&SYSTEM
  ibrav = 0, nat = 4, ntyp = 2
/
ATOMIC_SPECIES
Tm 168.93 Tm.upf
Pd 106.42 Pd.upf
ATOMIC_POSITIONS crystal
Tm 0.000 0.000 0.000
Pd 0.000 0.500 0.500
Pd 0.500 0.000 0.500
Pd 0.500 0.500 0.000
CELL_PARAMETERS angstrom
4.081 0.000 0.000
0.000 4.081 0.000
0.000 0.000 4.081

***

! PBE SrCdSn2Pt, relaxed; values from VASP
! E	-3.9591	eV per atom
! volume	128.7	Å³/f.u.
! crystal system	tetragonal
&SYSTEM
  ibrav = 0, nat = 10, ntyp = 4
/
ATOMIC_SPECIES
Sr 87.62 Sr.upf
Cd 112.41 Cd.upf
Sn 118.71 Sn.upf
Pt 195.08 Pt.upf
ATOMIC_POSITIONS crystal
Sr 0.250 0.250 0.236
Sr 0.750 0.750 0.764
Cd 0.250 0.750 0.500
Cd 0.750 0.250 0.500
Sn 0.250 0.250 0.656
Sn 0.250 0.750 0.000
Sn 0.750 0.250 0.000
Sn 0.750 0.750 0.344
Pt 0.250 0.250 0.883
Pt 0.750 0.750 0.117
CELL_PARAMETERS angstrom
4.694 0.000 0.000
0.000 4.694 0.000
0.000 0.000 11.679

***

! PBE GdMgZn, relaxed; values from VASP
! E	-2.4531	eV per atom
! volume	75.9	Å³/f.u.
! crystal system	trigonal
&SYSTEM
  ibrav = 0, nat = 6, ntyp = 3
/
ATOMIC_SPECIES
Gd 157.25 Gd.upf
Mg 24.30 Mg.upf
Zn 65.41 Zn.upf
ATOMIC_POSITIONS crystal
Gd 0.000 0.000 0.000
Gd 0.333 0.667 0.602
Mg 0.000 0.000 0.307
Mg 0.667 0.333 0.802
Zn 0.333 0.667 0.166
Zn 0.667 0.333 0.442
CELL_PARAMETERS angstrom
3.704 0.000 0.000
-1.852 3.207 0.000
0.000 0.000 12.777